Record 1
The following is a DFT calculation (PBE) of crystalline CaAcGaRu at its relaxed geometry.

Properties
M_tot   0.000 μB/atom
Energy above the most stable polymorph in this dataset   0.0 meV per atom
Calculated volume   30.86 A^3/atom
Space group   No. 160
E_tot   -0.1803 Ha/atom
Energy relative to the elements   -0.30 eV/atom

Lattice parameters (Å, degrees): 4.326 4.326 22.856 90.00 90.00 120.00
Sites, in units of the cell vectors:
Ca  0.000  0.000  0.000
Ca  0.333  0.667  0.667
Ca  0.667  0.333  0.333
Ac  0.000  0.000  0.829
Ac  0.333  0.667  0.496
Ac  0.667  0.333  0.162
Ga  0.000  0.000  0.589
Ga  0.333  0.667  0.255
Ga  0.667  0.333  0.922
Ru  0.000  0.000  0.243
Ru  0.333  0.667  0.909
Ru  0.667  0.333  0.576

Record 2
The following is a DFT calculation (PBE) of crystalline Ag2Sn2Te at its relaxed geometry.

Properties
M_tot   0.000 μB/atom
Formation energy (no corrections)   0.09 eV/atom
Energy above the most stable polymorph in this dataset   31.6 meV per atom
Calculated volume   25.48 A^3/atom
Space group   No. 139
E_tot   -0.1204 Ha/atom

Lattice parameters (Å, degrees): 3.990 3.990 16.006 90.00 90.00 90.00
Sites, in units of the cell vectors:
Ag  0.000  0.500  0.250
Ag  0.000  0.500  0.750
Ag  0.500  0.000  0.250
Ag  0.500  0.000  0.750
Sn  0.000  0.000  0.107
Sn  0.000  0.000  0.893
Sn  0.500  0.500  0.393
Sn  0.500  0.500  0.607
Te  0.000  0.000  0.500
Te  0.500  0.500  0.000

Record 3
The following is a DFT calculation (PBE) of crystalline Li2HgP at its relaxed geometry.

Properties
M_tot   0.000 μB/atom
Calculated volume   19.32 A^3/atom
Space group   No. 160
E_tot   -0.0867 Ha/atom
Energy relative to the elements   0.03 eV/atom

Lattice parameters (Å, degrees): 3.163 3.163 26.763 90.00 90.00 120.00
Sites, in units of the cell vectors:
Li  0.000  0.000  0.000
Li  0.000  0.000  0.231
Li  0.333  0.667  0.667
Li  0.333  0.667  0.898
Li  0.667  0.333  0.333
Li  0.667  0.333  0.565
Hg  0.000  0.000  0.488
Hg  0.333  0.667  0.154
Hg  0.667  0.333  0.821
P  0.000  0.000  0.732
P  0.333  0.667  0.399
P  0.667  0.333  0.065

Record 4
The following is a DFT calculation (PBE) of crystalline Li3U3PdSe8 at its relaxed geometry.

Properties
M_tot   0.443 μB/atom
Formation energy (no corrections)   -1.04 eV/atom
Calculated volume   23.50 A^3/atom
Space group   No. 12
E_tot   -0.2163 Ha/atom

Lattice parameters (Å, degrees): 7.839 7.839 8.022 119.25 119.25 60.03
Sites, in units of the cell vectors:
Li  0.000  0.000  0.000
Li  0.000  0.500  0.000
Li  0.500  0.000  0.000
U  0.000  0.500  0.500
U  0.500  0.000  0.500
U  0.500  0.500  0.500
Pd  0.000  0.000  0.500
Se  0.244  0.754  0.251
Se  0.245  0.245  0.235
Se  0.245  0.245  0.748
Se  0.246  0.756  0.749
Se  0.754  0.244  0.251
Se  0.755  0.755  0.252
Se  0.755  0.755  0.765
Se  0.756  0.246  0.749

Record 5
The following is a DFT calculation (PBE) of crystalline Y2MgOs at its relaxed geometry.

Properties
M_tot   0.000 μB/atom
Calculated volume   26.72 A^3/atom
Space group   No. 71
E_tot   -0.2262 Ha/atom
Energy relative to the elements   0.28 eV/atom

Lattice parameters (Å, degrees): 3.669 3.683 15.818 90.00 90.00 90.00
Sites, in units of the cell vectors:
Y  0.000  0.000  0.165
Y  0.000  0.000  0.835
Y  0.500  0.500  0.335
Y  0.500  0.500  0.665
Mg  0.000  0.000  0.500
Mg  0.500  0.500  0.000
Os  0.000  0.000  0.000
Os  0.500  0.500  0.500

Record 6
The following is a DFT calculation (PBE) of crystalline BaMg2SnRu at its relaxed geometry.

Properties
M_tot   0.000 μB/atom
Calculated volume   27.30 A^3/atom
Space group   No. 123
E_tot   -0.1444 Ha/atom
Energy relative to the elements   -0.25 eV/atom

Lattice parameters (Å, degrees): 5.156 5.156 5.135 90.00 90.00 90.00
Sites, in units of the cell vectors:
Ba  0.000  0.000  0.000
Mg  0.000  0.500  0.500
Mg  0.500  0.000  0.500
Sn  0.500  0.500  0.000
Ru  0.500  0.500  0.500

Record 7
The following is a DFT calculation (PBE) of crystalline MgTi at its relaxed geometry.

Properties
M_tot   0.000 μB/atom
Calculated volume   19.57 A^3/atom
Space group   No. 67
E_tot   -0.1736 Ha/atom
Energy relative to the elements   0.02 eV/atom

Lattice parameters (Å, degrees): 3.847 4.337 9.382 90.00 90.00 90.00
Sites, in units of the cell vectors:
Mg  0.000  0.250  0.135
Mg  0.000  0.750  0.865
Mg  0.500  0.250  0.865
Mg  0.500  0.750  0.135
Ti  0.000  0.250  0.603
Ti  0.000  0.750  0.397
Ti  0.500  0.250  0.397
Ti  0.500  0.750  0.603

Record 8
The following is a DFT calculation (PBE) of crystalline TbPm2Sm5 at its relaxed geometry.

Properties
M_tot   0.000 μB/atom
Energy above the most stable polymorph in this dataset   12.4 meV per atom
Calculated volume   34.07 A^3/atom
Space group   No. 2
E_tot   -0.1723 Ha/atom
Energy relative to the elements   0.03 eV/atom

Lattice parameters (Å, degrees): 6.908 8.624 9.710 76.07 84.24 76.38
Sites, in units of the cell vectors:
Tb  0.198  0.052  0.261
Tb  0.802  0.948  0.739
Pm  0.072  0.176  0.886
Pm  0.324  0.926  0.635
Pm  0.676  0.074  0.365
Pm  0.928  0.824  0.114
Sm  0.051  0.699  0.490
Sm  0.178  0.573  0.864
Sm  0.300  0.449  0.240
Sm  0.427  0.323  0.615
Sm  0.449  0.802  0.010
Sm  0.551  0.198  0.990
Sm  0.573  0.677  0.385
Sm  0.700  0.551  0.760
Sm  0.822  0.427  0.136
Sm  0.949  0.301  0.510

Record 9
The following is a DFT calculation (PBE) of crystalline LiEr3Au4 at its relaxed geometry.

Properties
M_tot   0.000 μB/atom
Calculated volume   21.52 A^3/atom
Space group   No. 166
E_tot   -0.1613 Ha/atom
Energy relative to the elements   -0.80 eV/atom

Lattice parameters (Å, degrees): 8.612 8.612 8.612 33.38 33.38 33.38
Sites, in units of the cell vectors:
Li  0.000  0.000  0.000
Er  0.256  0.256  0.256
Er  0.500  0.500  0.500
Er  0.744  0.744  0.744
Au  0.128  0.128  0.128
Au  0.378  0.378  0.378
Au  0.622  0.622  0.622
Au  0.872  0.872  0.872

Record 10
The following is a DFT calculation (PBE) of crystalline Ba3In2Bi3 at its relaxed geometry.

Properties
M_tot   0.000 μB/atom
Energy above the most stable polymorph in this dataset   0.0 meV per atom
Calculated volume   38.36 A^3/atom
Space group   No. 63
E_tot   -0.1280 Ha/atom
Energy relative to the elements   -0.62 eV/atom

Lattice parameters (Å, degrees): 7.123 7.123 18.008 90.00 90.00 137.80
Sites, in units of the cell vectors:
Ba  0.054  0.946  0.613
Ba  0.054  0.946  0.887
Ba  0.324  0.676  0.750
Ba  0.676  0.324  0.250
Ba  0.946  0.054  0.113
Ba  0.946  0.054  0.387
In  0.227  0.773  0.107
In  0.227  0.773  0.393
In  0.773  0.227  0.607
In  0.773  0.227  0.893
Bi  0.379  0.621  0.530
Bi  0.379  0.621  0.970
Bi  0.400  0.600  0.250
Bi  0.600  0.400  0.750
Bi  0.621  0.379  0.030
Bi  0.621  0.379  0.470

Record 11
The following is a DFT calculation (PBE) of crystalline Zn2RuW at its relaxed geometry.

Properties
M_tot   0.000 μB/atom
Energy above the most stable polymorph in this dataset   177.1 meV per atom
Calculated volume   14.75 A^3/atom
Space group   No. 47
E_tot   -0.2204 Ha/atom
Energy relative to the elements   0.20 eV/atom

Lattice parameters (Å, degrees): 2.987 4.412 4.476 90.00 90.00 90.00
Sites, in units of the cell vectors:
Zn  0.000  0.000  0.000
Zn  0.500  0.500  0.000
Ru  0.000  0.500  0.500
W  0.500  0.000  0.500

Record 12
The following is a DFT calculation (PBE) of crystalline KUPt2 at its relaxed geometry.

Properties
M_tot   0.562 μB/atom
Calculated volume   24.62 A^3/atom
Space group   No. 123
E_tot   -0.2397 Ha/atom
Energy relative to the elements   -0.41 eV/atom

Lattice parameters (Å, degrees): 3.455 3.455 8.246 90.00 90.00 90.00
Sites, in units of the cell vectors:
K  0.000  0.000  0.000
U  0.000  0.000  0.500
Pt  0.500  0.500  0.311
Pt  0.500  0.500  0.689